# 1
# Al2IrPb

Al2IrPb after structural relaxation (PBE, Alexandria).

Lattice parameters (Å, degrees): 6.6469 6.6469 6.6469 90.00 90.00 90.00
Last column: nearest neighbours and their distance in Å.
Fractional positions:
Al 0.0000 0.0000 0.0000  4 Al 2.88, 4 Ir 2.88
Al 0.0000 0.5000 0.5000  4 Al 2.88, 4 Ir 2.88
Al 0.2500 0.2500 0.2500  4 Pb 2.88, 4 Al 2.88
Al 0.2500 0.7500 0.7500  4 Pb 2.88, 4 Al 2.88
Al 0.5000 0.0000 0.5000  4 Al 2.88, 4 Ir 2.88
Al 0.5000 0.5000 0.0000  4 Al 2.88, 4 Ir 2.88
Al 0.7500 0.2500 0.7500  4 Pb 2.88, 4 Al 2.88
Al 0.7500 0.7500 0.2500  4 Pb 2.88, 4 Al 2.88
Ir 0.2500 0.2500 0.7500  4 Al 2.88, 4 Pb 2.88
Ir 0.2500 0.7500 0.2500  4 Pb 2.88, 4 Al 2.88
Ir 0.7500 0.2500 0.2500  4 Pb 2.88, 4 Al 2.88
Ir 0.7500 0.7500 0.7500  4 Al 2.88, 4 Pb 2.88
Pb 0.0000 0.0000 0.5000  4 Ir 2.88, 4 Al 2.88
Pb 0.0000 0.5000 0.0000  4 Ir 2.88, 4 Al 2.88
Pb 0.5000 0.0000 0.0000  4 Ir 2.88, 4 Al 2.88
Pb 0.5000 0.5000 0.5000  4 Ir 2.88, 4 Al 2.88

Formation enthalpy at 0 K in meV per atom: 248
SG: No. 216


# 2
# HfRu2Rh

HfRu2Rh after structural relaxation (PBE, Alexandria).

Lattice parameters (Å, degrees): 6.3093 6.3093 6.3093 90.00 90.00 90.00
Last column: nearest neighbours and their distance in Å.
Fractional positions:
Hf 0.0000 0.0000 0.0000  8 Ru 2.73
Hf 0.0000 0.5000 0.5000  8 Ru 2.73
Hf 0.5000 0.0000 0.5000  8 Ru 2.73
Hf 0.5000 0.5000 0.0000  8 Ru 2.73
Ru 0.2500 0.2500 0.2500  4 Hf 2.73, 4 Rh 2.73
Ru 0.2500 0.2500 0.7500  4 Hf 2.73, 4 Rh 2.73
Ru 0.2500 0.7500 0.2500  4 Hf 2.73, 4 Rh 2.73
Ru 0.2500 0.7500 0.7500  4 Hf 2.73, 4 Rh 2.73
Ru 0.7500 0.2500 0.2500  4 Hf 2.73, 4 Rh 2.73
Ru 0.7500 0.2500 0.7500  4 Hf 2.73, 4 Rh 2.73
Ru 0.7500 0.7500 0.2500  4 Hf 2.73, 4 Rh 2.73
Ru 0.7500 0.7500 0.7500  4 Hf 2.73, 4 Rh 2.73
Rh 0.0000 0.0000 0.5000  8 Ru 2.73
Rh 0.0000 0.5000 0.0000  8 Ru 2.73
Rh 0.5000 0.0000 0.0000  8 Ru 2.73
Rh 0.5000 0.5000 0.5000  8 Ru 2.73

Formation enthalpy at 0 K in meV per atom: -106
SG: No. 225


# 3
# Ca3SmTl2F12

Ca3SmTl2F12 after structural relaxation (PBE, Alexandria).

Lattice parameters (Å, degrees): 8.4462 8.4462 8.4462 55.60 55.60 55.60
Last column: nearest neighbours and their distance in Å.
Fractional positions:
Ca 0.0000 0.5000 0.5000  6 F 2.20-2.32
Ca 0.5000 0.0000 0.5000  6 F 2.20-2.32
Ca 0.5000 0.5000 0.0000  6 F 2.20-2.32
Sm 0.5000 0.5000 0.5000  6 F 2.24
Tl 0.0753 0.0753 0.0753  3 F 2.57
Tl 0.9247 0.9247 0.9247  3 F 2.57
F 0.1437 0.1437 0.6184  2 Ca 2.32, 1 Tl 2.57
F 0.1437 0.6184 0.1437  2 Ca 2.32, 1 Tl 2.57
F 0.1794 0.5605 0.5605  1 Ca 2.20, 1 Sm 2.24
F 0.3816 0.8563 0.8563  2 Ca 2.32, 1 Tl 2.57
F 0.4395 0.4395 0.8206  1 Ca 2.20, 1 Sm 2.24
F 0.4395 0.8206 0.4395  1 Ca 2.20, 1 Sm 2.24
F 0.5605 0.1794 0.5605  1 Ca 2.20, 1 Sm 2.24
F 0.5605 0.5605 0.1794  1 Ca 2.20, 1 Sm 2.24
F 0.6184 0.1437 0.1437  2 Ca 2.32, 1 Tl 2.57
F 0.8206 0.4395 0.4395  1 Ca 2.20, 1 Sm 2.24
F 0.8563 0.3816 0.8563  2 Ca 2.32, 1 Tl 2.57
F 0.8563 0.8563 0.3816  2 Ca 2.32, 1 Tl 2.57

Formation energy from raw total energies in eV per atom: -3.166
SG: No. 166


# 4
# NaCdMo3

NaCdMo3 after structural relaxation (PBE, Alexandria).

Lattice parameters (Å, degrees): 4.5824 4.5824 4.5824 90.00 90.00 90.00
Last column: nearest neighbours and their distance in Å.
Fractional positions:
Na 0.0000 0.0000 0.0000  6 Mo 2.29
Cd 0.5000 0.5000 0.5000  12 Mo 3.24
Mo 0.0000 0.0000 0.5000  2 Na 2.29
Mo 0.0000 0.5000 0.0000  2 Na 2.29
Mo 0.5000 0.0000 0.0000  2 Na 2.29

Energy above the most stable polymorph in this dataset in eV/atom: 0.000
Formation enthalpy at 0 K in meV per atom: 2469
SG: No. 221


# 5
# ThAg2

ThAg2 after structural relaxation (PBE, Alexandria).

Lattice parameters (Å, degrees): 5.7678 5.7678 5.7678 60.00 60.00 60.00
Last column: nearest neighbours and their distance in Å.
Fractional positions:
Th 0.1250 0.1250 0.1250  12 Ag 3.38, 4 Th 3.53
Th 0.8750 0.8750 0.8750  12 Ag 3.38, 4 Th 3.53
Ag 0.0000 0.5000 0.5000  6 Ag 2.88
Ag 0.5000 0.0000 0.5000  6 Ag 2.88
Ag 0.5000 0.5000 0.0000  6 Ag 2.88
Ag 0.5000 0.5000 0.5000  6 Ag 2.88

Formation enthalpy at 0 K in meV per atom: -9
SG: No. 227


# 6
# Ga3BiAu3

Ga3BiAu3 after structural relaxation (PBE, Alexandria).

Lattice parameters (Å, degrees): 7.1442 7.1442 7.1442 90.00 90.00 90.00
Last column: nearest neighbours and their distance in Å.
Fractional positions:
Ga 0.0000 0.2500 0.5000  4 Au 2.53
Ga 0.0000 0.7500 0.5000  4 Au 2.53
Ga 0.2500 0.5000 0.0000  4 Au 2.53
Ga 0.5000 0.0000 0.2500  4 Au 2.53
Ga 0.5000 0.0000 0.7500  4 Au 2.53
Ga 0.7500 0.5000 0.0000  4 Au 2.53
Bi 0.0000 0.0000 0.0000  12 Ga 3.99, 12 Au 3.99
Bi 0.5000 0.5000 0.5000  12 Ga 3.99, 12 Au 3.99
Au 0.0000 0.5000 0.2500  4 Ga 2.53
Au 0.0000 0.5000 0.7500  4 Ga 2.53
Au 0.2500 0.0000 0.5000  4 Ga 2.53
Au 0.5000 0.2500 0.0000  4 Ga 2.53
Au 0.5000 0.7500 0.0000  4 Ga 2.53
Au 0.7500 0.0000 0.5000  4 Ga 2.53

Formation enthalpy at 0 K in meV per atom: 145
SG: No. 223


# 7
# Tc2HgPt

Tc2HgPt after structural relaxation (PBE, Alexandria).

Lattice parameters (Å, degrees): 2.8204 4.2476 5.5490 90.00 90.00 90.00
Last column: nearest neighbours and their distance in Å.
Fractional positions:
Tc 0.0000 0.0000 0.2102  1 Tc 2.33
Tc 0.0000 0.0000 0.7898  1 Tc 2.33
Hg 0.5000 0.5000 0.5000  2 Pt 2.77, 2 Hg 2.82, 8 Tc 3.01
Pt 0.5000 0.5000 0.0000  2 Hg 2.77, 8 Tc 2.80, 2 Pt 2.82

Formation enthalpy at 0 K in meV per atom: 339
SG: No. 47


# 8
# TaSbW2

TaSbW2 after structural relaxation (PBE, Alexandria).

Lattice parameters (Å, degrees): 4.0016 4.0016 19.5692 90.00 90.00 90.00
Last column: nearest neighbours and their distance in Å.
Fractional positions:
Ta 0.0000 0.0000 0.0000  4 Sb 2.83, 4 W 2.88
Ta 0.0000 0.5000 0.2500  4 Sb 2.83, 4 W 2.88
Ta 0.5000 0.0000 0.7500  4 Sb 2.83, 4 W 2.88
Ta 0.5000 0.5000 0.5000  4 Sb 2.83, 4 W 2.88
Sb 0.0000 0.0000 0.5000  4 W 2.78, 4 Ta 2.83
Sb 0.0000 0.5000 0.7500  4 W 2.78, 4 Ta 2.83
Sb 0.5000 0.0000 0.2500  4 W 2.78, 4 Ta 2.83
Sb 0.5000 0.5000 0.0000  4 W 2.78, 4 Ta 2.83
W 0.2136 0.2500 0.6250  2 W 2.63, 2 Sb 2.78, 2 Ta 2.88
W 0.2500 0.7136 0.8750  2 W 2.63, 2 Sb 2.78, 2 Ta 2.88
W 0.2500 0.7864 0.3750  2 W 2.63, 2 Sb 2.78, 2 Ta 2.88
W 0.2864 0.2500 0.1250  2 W 2.63, 2 Sb 2.78, 2 Ta 2.88
W 0.7136 0.7500 0.1250  2 W 2.63, 2 Sb 2.78, 2 Ta 2.88
W 0.7500 0.2136 0.3750  2 W 2.63, 2 Sb 2.78, 2 Ta 2.88
W 0.7500 0.2864 0.8750  2 W 2.63, 2 Sb 2.78, 2 Ta 2.88
W 0.7864 0.7500 0.6250  2 W 2.63, 2 Sb 2.78, 2 Ta 2.88

Formation energy from raw total energies in eV per atom: 0.909
SG: No. 122


# 9
# SrGd2Ru

SrGd2Ru after structural relaxation (PBE, Alexandria).

Lattice parameters (Å, degrees): 3.9643 3.9643 32.2960 90.00 90.00 120.00
Last column: nearest neighbours and their distance in Å.
Fractional positions:
Sr 0.0000 0.0000 0.0000  2 Gd 3.85, 6 Sr 3.96
Sr 0.3333 0.6667 0.6667  2 Gd 3.85, 6 Sr 3.96
Sr 0.6667 0.3333 0.3333  2 Gd 3.85, 6 Sr 3.96
Gd 0.0000 0.0000 0.1192  3 Ru 2.75
Gd 0.0000 0.0000 0.8808  3 Ru 2.75
Gd 0.3333 0.6667 0.5474  3 Ru 2.75
Gd 0.3333 0.6667 0.7859  3 Ru 2.75
Gd 0.6667 0.3333 0.2141  3 Ru 2.75
Gd 0.6667 0.3333 0.4526  3 Ru 2.75
Ru 0.0000 0.0000 0.5000  6 Gd 2.75
Ru 0.3333 0.6667 0.1667  6 Gd 2.75
Ru 0.6667 0.3333 0.8333  6 Gd 2.75

Energy above the most stable polymorph in this dataset in eV/atom: 0.151
Formation enthalpy at 0 K in meV per atom: 13
SG: No. 166


# 10
# K5RbAu3

K5RbAu3 after structural relaxation (PBE, Alexandria).

Lattice parameters (Å, degrees): 8.6756 8.6756 11.7224 101.84 101.84 87.63
Last column: nearest neighbours and their distance in Å.
Fractional positions:
K 0.1715 0.7360 0.6629  3 Au 3.38-3.53
K 0.2444 0.7556 0.0000  3 Au 3.07-3.29
K 0.2551 0.2551 0.0864  4 Au 3.22-3.49
K 0.2640 0.8285 0.3371  3 Au 3.38-3.53
K 0.3314 0.3314 0.4393  2 Au 3.54-3.60
K 0.6686 0.6686 0.5607  2 Au 3.54-3.60
K 0.7360 0.1715 0.6629  3 Au 3.38-3.53
K 0.7449 0.7449 0.9136  4 Au 3.22-3.49
K 0.7556 0.2444 0.0000  3 Au 3.07-3.29
K 0.8285 0.2640 0.3371  3 Au 3.38-3.53
Rb 0.2258 0.2258 0.7495  3 Au 3.33-3.54
Rb 0.7742 0.7742 0.2505  3 Au 3.33-3.54
Au 0.0000 0.0000 0.5000  4 K 3.38, 2 Rb 3.44
Au 0.0019 0.0019 0.1280  1 Au 2.99, 3 K 3.29-3.34
Au 0.4910 0.4910 0.7477  1 Au 2.93, 1 K 3.22
Au 0.5000 0.5000 0.0000  2 Au 2.93, 2 K 3.07
Au 0.5090 0.5090 0.2523  1 Au 2.93, 1 K 3.22
Au 0.9981 0.9981 0.8720  1 Au 2.99, 3 K 3.29-3.34

Formation enthalpy at 0 K in meV per atom: -180
SG: No. 12


# 11
# TiRu2Br2

TiRu2Br2 after structural relaxation (PBE, Alexandria).

Lattice parameters (Å, degrees): 7.2969 7.2969 3.1604 90.00 90.00 90.00
Last column: nearest neighbours and their distance in Å.
Fractional positions:
Ti 0.0000 0.0000 0.0000  4 Br 2.72
Ti 0.5000 0.5000 0.0000  4 Br 2.72
Ru 0.1442 0.3558 0.5000  6 Br 2.51-2.77
Ru 0.3558 0.8558 0.5000  6 Br 2.51-2.77
Ru 0.6442 0.1442 0.5000  6 Br 2.51-2.77
Ru 0.8558 0.6442 0.5000  6 Br 2.51-2.77
Br 0.1668 0.6668 0.0000  6 Ru 2.51-2.77, 2 Ti 2.72
Br 0.3332 0.1668 0.0000  6 Ru 2.51-2.77, 2 Ti 2.72
Br 0.6668 0.8332 0.0000  6 Ru 2.51-2.77, 2 Ti 2.72
Br 0.8332 0.3332 0.0000  6 Ru 2.51-2.77, 2 Ti 2.72

Formation energy from raw total energies in eV per atom: 0.741
Energy above the most stable polymorph in this dataset in eV/atom: 0.000
SG: No. 127


# 12
# KTe2OsN

KTe2OsN after structural relaxation (PBE, Alexandria).

Lattice parameters (Å, degrees): 5.9664 5.9664 4.6113 90.00 90.00 90.00
Last column: nearest neighbours and their distance in Å.
Fractional positions:
K 0.0000 0.0000 0.0000  2 N 2.31
Te 0.0000 0.5000 0.0000  2 K 2.98
Te 0.5000 0.0000 0.0000  2 K 2.98
Os 0.5000 0.5000 0.5000  8 Te 3.77, 4 N 4.22
N 0.0000 0.0000 0.5000  2 K 2.31

Formation energy from raw total energies in eV per atom: 2.572
Energy above the most stable polymorph in this dataset in eV/atom: 2.511
SG: No. 123


# 13
# MgBe2CBr

MgBe2CBr after structural relaxation (PBE, Alexandria).

Lattice parameters (Å, degrees): 4.9868 4.9868 3.9820 90.00 90.00 90.00
Last column: nearest neighbours and their distance in Å.
Fractional positions:
Mg 0.0000 0.0000 0.0000  2 C 1.99
Be 0.0000 0.5000 0.0000  2 Mg 2.49
Be 0.5000 0.0000 0.0000  2 Mg 2.49
C 0.0000 0.0000 0.5000  2 Mg 1.99
Br 0.5000 0.5000 0.5000  8 Be 3.19, 4 C 3.53

Formation energy from raw total energies in eV per atom: 1.858
SG: No. 123


# 14
# Hf4In5Ag

Hf4In5Ag after structural relaxation (PBE, Alexandria).

Lattice parameters (Å, degrees): 3.1481 3.1481 21.6115 90.00 90.00 90.00
Last column: nearest neighbours and their distance in Å.
Fractional positions:
Hf 0.0000 0.0000 0.1016  8 In 3.12-3.13, 4 Hf 3.15
Hf 0.0000 0.0000 0.3050  8 In 3.10-3.13, 4 Hf 3.15
Hf 0.0000 0.0000 0.6950  8 In 3.10-3.13, 4 Hf 3.15
Hf 0.0000 0.0000 0.8984  8 In 3.12-3.13, 4 Hf 3.15
In 0.5000 0.5000 0.0000  8 Hf 3.13, 4 In 3.15
In 0.5000 0.5000 0.2030  8 Hf 3.12-3.13, 4 In 3.15
In 0.5000 0.5000 0.4051  4 Ag 3.03, 4 Hf 3.10, 4 In 3.15
In 0.5000 0.5000 0.5949  4 Ag 3.03, 4 Hf 3.10, 4 In 3.15
In 0.5000 0.5000 0.7970  8 Hf 3.12-3.13, 4 In 3.15
Ag 0.0000 0.0000 0.5000  8 In 3.03, 4 Ag 3.15

Formation enthalpy at 0 K in meV per atom: -115
SG: No. 123


# 15
# CeNd3Tm2Se6

CeNd3Tm2Se6 after structural relaxation (PBE, Alexandria).

Lattice parameters (Å, degrees): 7.1686 7.1686 7.2598 99.51 99.51 120.17
Last column: nearest neighbours and their distance in Å.
Fractional positions:
Ce 0.0000 0.0000 0.0000  6 Se 2.93-2.94
Nd 0.1626 0.8374 0.5000  6 Se 2.97-3.02
Nd 0.5000 0.5000 0.5000  6 Se 2.95-3.02
Nd 0.8374 0.1626 0.5000  6 Se 2.97-3.02
Tm 0.3327 0.6673 0.0000  6 Se 2.85-2.86
Tm 0.6673 0.3327 0.0000  6 Se 2.85-2.86
Se 0.0790 0.4221 0.2370  2 Tm 2.85-2.86, 1 Ce 2.94, 3 Nd 2.97-3.02
Se 0.2658 0.2658 0.7672  2 Tm 2.85, 1 Ce 2.93, 3 Nd 2.95-3.00
Se 0.4221 0.0790 0.2370  2 Tm 2.85-2.86, 1 Ce 2.94, 3 Nd 2.97-3.02
Se 0.5779 0.9210 0.7630  2 Tm 2.85-2.86, 1 Ce 2.94, 3 Nd 2.97-3.02
Se 0.7342 0.7342 0.2328  2 Tm 2.85, 1 Ce 2.93, 3 Nd 2.95-3.00
Se 0.9210 0.5779 0.7630  2 Tm 2.85-2.86, 1 Ce 2.94, 3 Nd 2.97-3.02

Formation energy from raw total energies in eV per atom: -1.783
SG: No. 12


# 16
# LiMgAs

LiMgAs after structural relaxation (PBE, Alexandria).

Lattice parameters (Å, degrees): 3.0862 3.0862 12.2280 90.00 90.00 90.00
Last column: nearest neighbours and their distance in Å.
Fractional positions:
Li 0.0000 0.0000 0.0000  4 As 2.80, 4 Li 3.09
Li 0.5000 0.5000 0.5000  4 As 2.80, 4 Li 3.09
Mg 0.0000 0.0000 0.6986  4 As 2.91, 4 Mg 3.09
Mg 0.5000 0.5000 0.1986  4 As 2.91, 4 Mg 3.09
As 0.0000 0.0000 0.3565  4 Li 2.80, 4 Mg 2.91, 4 As 3.09
As 0.5000 0.5000 0.8565  4 Li 2.80, 4 Mg 2.91, 4 As 3.09

Formation enthalpy at 0 K in meV per atom: -252
SG: No. 107


# 17
# SrSmEuIn

SrSmEuIn after structural relaxation (PBE, Alexandria).

Lattice parameters (Å, degrees): 8.1522 8.1522 8.1522 90.00 90.00 90.00
Last column: nearest neighbours and their distance in Å.
Fractional positions:
Sr 0.0000 0.0000 0.0000  4 Eu 3.53, 4 Sm 3.53
Sr 0.0000 0.5000 0.5000  4 Eu 3.53, 4 Sm 3.53
Sr 0.5000 0.0000 0.5000  4 Eu 3.53, 4 Sm 3.53
Sr 0.5000 0.5000 0.0000  4 Eu 3.53, 4 Sm 3.53
Sm 0.2500 0.2500 0.7500  4 In 3.53, 4 Sr 3.53
Sm 0.2500 0.7500 0.2500  4 In 3.53, 4 Sr 3.53
Sm 0.7500 0.2500 0.2500  4 In 3.53, 4 Sr 3.53
Sm 0.7500 0.7500 0.7500  4 In 3.53, 4 Sr 3.53
Eu 0.2500 0.2500 0.2500  4 In 3.53, 4 Sr 3.53
Eu 0.2500 0.7500 0.7500  4 In 3.53, 4 Sr 3.53
Eu 0.7500 0.2500 0.7500  4 In 3.53, 4 Sr 3.53
Eu 0.7500 0.7500 0.2500  4 In 3.53, 4 Sr 3.53
In 0.0000 0.0000 0.5000  4 Sm 3.53, 4 Eu 3.53
In 0.0000 0.5000 0.0000  4 Sm 3.53, 4 Eu 3.53
In 0.5000 0.0000 0.0000  4 Sm 3.53, 4 Eu 3.53
In 0.5000 0.5000 0.5000  4 Sm 3.53, 4 Eu 3.53

Formation enthalpy at 0 K in meV per atom: -89
SG: No. 216


| no. | D(E_F) (states/eV/cell) |
| --- | --- |
| 1 | 8.426 |
| 2 | 28.589 |
| 3 | 10.329 |
| 4 | 5.344 |
| 5 | 6.702 |
| 6 | 9.710 |
| 7 | 3.677 |
| 8 | 13.454 |
| 9 | 9.033 |
| 10 | 7.765 |
| 11 | 11.633 |
| 12 | 7.505 |
| 13 | 3.275 |
| 14 | 6.279 |
| 15 | 10.589 |
| 16 | 1.071 |
| 17 | 35.190 |